Material: LaTc2PtAu
Method: DFT, PBE
State: optimized geometry

The structure in extended XYZ format:
```
5
Lattice="4.919 0.000 0.000 0.000 5.569 0.000 0.000 0.000 4.919" Properties=species:S:1:pos:R:3 pbc="T T T"
Au 0.000 0.000 0.000
Tc 2.460 0.000 0.000
Tc 0.000 0.000 2.460
La 0.000 2.785 0.000
Pt 2.460 2.785 2.460
```

Summary:
VASP energy = -5.59 eV/atom
Symmetry = P4/mmm (123)
Density = 8.956 Mg/m³
Spin magnetization = 5.4 μB/f.u.

Material: LaTmPtAu
Method: DFT, PBE
State: optimized geometry

The structure in extended XYZ format:
```
4
Lattice="5.120 0.000 0.000 2.560 4.434 0.000 2.560 1.478 4.180" Properties=species:S:1:pos:R:3 pbc="T T T"
Au 2.560 1.478 1.045
Tm 0.000 0.000 0.000
La 5.120 2.956 2.090
Pt 7.680 4.434 3.135
```

Summary:
VASP energy = -5.65 eV/atom
Symmetry = F-43m (216)
Density = 12.246 Mg/m³
Spin magnetization = 0.0 μB/f.u.

Material: La2Zn3Pt4Au
Method: DFT, PBE
State: optimized geometry

The structure in extended XYZ format:
```
10
Lattice="4.172 0.000 0.000 0.000 4.172 0.000 0.000 0.000 11.478" Properties=species:S:1:pos:R:3 pbc="T T T"
La 0.000 2.086 8.646
La 2.086 0.000 2.832
Pt 2.086 2.086 0.000
Pt 0.000 2.086 3.947
Pt 2.086 0.000 7.531
Pt 0.000 0.000 0.000
Au 2.086 2.086 5.739
Zn 2.086 0.000 10.020
Zn 0.000 2.086 1.458
Zn 0.000 0.000 5.739
```

Summary:
VASP energy = -4.89 eV/atom
Symmetry = P-4m2 (115)
Density = 12.066 Mg/m³
Spin magnetization = 0.0 μB/f.u.

Material: La2ZnPtAu
Method: DFT, PBE
State: optimized geometry

The structure in extended XYZ format:
```
10
Lattice="-1.834 -0.358 -4.129 5.545 -5.043 -2.026 -5.903 -3.576 2.932" Properties=species:S:1:pos:R:3 pbc="T T T"
La -4.497 -5.022 1.189
La 2.305 -3.955 -4.412
La -1.869 -2.033 -0.237
La -0.323 -6.943 -2.985
Zn -1.282 -5.205 -0.223
Zn -0.909 -3.772 -3.000
Pt -1.287 -1.186 -3.056
Pt -0.905 -7.790 -0.166
Au 1.307 -4.695 -1.417
Au -3.499 -4.282 -1.805
```

Summary:
VASP energy = -4.92 eV/atom
Symmetry = P2_1/m (11)
Density = 9.899 Mg/m³
Spin magnetization = 0.0 μB/f.u.

Material: LaZnPt3Au
Method: DFT, PBE
State: optimized geometry

The structure in extended XYZ format:
```
12
Lattice="5.839 0.000 0.000 0.000 5.803 0.000 0.000 -2.901 6.933" Properties=species:S:1:pos:R:3 pbc="T T T"
Pt 2.920 1.560 0.000
Pt 4.379 2.901 4.890
Pt 0.000 4.243 0.000
Pt 1.460 0.000 2.043
Pt 0.000 1.560 0.000
Pt 2.920 4.243 0.000
La 4.379 0.000 4.449
La 1.460 2.901 2.483
Zn 1.460 2.901 5.569
Zn 4.379 0.000 1.363
Au 4.379 2.901 2.158
Au 1.460 0.000 4.775
```

Summary:
VASP energy = -5.14 eV/atom
Symmetry = Cmcm (63)
Density = 13.948 Mg/m³
Spin magnetization = 0.0 μB/f.u.

Material: LaZn2PtAu2
Method: DFT, PBE
State: optimized geometry

The structure in extended XYZ format:
```
6
Lattice="4.882 0.000 0.000 0.000 4.882 0.000 0.000 0.000 5.538" Properties=species:S:1:pos:R:3 pbc="T T T"
Au 2.441 2.441 4.110
Au 2.441 2.441 1.428
Zn 0.000 2.441 0.000
Zn 2.441 0.000 0.000
La 0.000 0.000 2.769
Pt 0.000 0.000 0.000
```

Summary:
VASP energy = -3.84 eV/atom
Symmetry = P4/mmm (123)
Density = 10.804 Mg/m³
Spin magnetization = 0.0 μB/f.u.